# PBEsol YTeRh3, optimized geometry
# Size of the total moment = 0.3 μB per formula unit
# Formation energy (no corrections) = 1.125 eV per atom
# DOS at the Fermi energy = 1.8957 states/eV per atom
data_YTeRh3
_chemical_formula_sum 'Y1 Te1 Rh3'
_cell_length_a 4.7951
_cell_length_b 4.7951
_cell_length_c 4.7951
_cell_angle_alpha 90.00
_cell_angle_beta 90.00
_cell_angle_gamma 90.00
_symmetry_space_group_name_H-M 'P m -3 m'
_symmetry_Int_Tables_number 221
_symmetry_space_group_name_Hall '-P 4 2 3'
loop_
_atom_site_label
_atom_site_type_symbol
_atom_site_fract_x
_atom_site_fract_y
_atom_site_fract_z
Y1 Y 0.0000 0.0000 0.0000
Te1 Te 0.5000 0.5000 0.5000
Rh1 Rh 0.0000 0.0000 0.5000